{"formula": "CeFeCo2H8", "functional": "GGA-PBE", "state": "optimized geometry", "lattice_angstrom": [[2.204, 1.273, 5.277], [-2.204, 1.273, 5.277], [0.000, -2.545, 5.277]], "species": ["Ce", "Fe", "Co", "Co", "H", "H", "H", "H", "H", "H", "H", "H"], "frac_coords": [[0.000, 0.000, 0.000], [0.500, 0.500, 0.500], [0.199, 0.199, 0.199], [0.801, 0.801, 0.801], [0.143, 0.403, 0.812], [0.188, 0.857, 0.597], [0.302, 0.302, 0.302], [0.403, 0.812, 0.143], [0.597, 0.188, 0.857], [0.698, 0.698, 0.698], [0.812, 0.143, 0.403], [0.857, 0.597, 0.188]]}


{"formula": "Sm2Ga4Ir3Pd", "functional": "GGA-PBE", "state": "optimized geometry", "formation_enthalpy_0k_mev_per_atom": -735, "lattice_angstrom": [[4.242, 0.000, 0.000], [0.000, 4.242, 0.000], [0.000, 0.000, 10.430]], "species": ["Sm", "Sm", "Ga", "Ga", "Ga", "Ga", "Ir", "Ir", "Ir", "Pd"], "frac_coords": [[0.000, 0.500, 0.248], [0.500, 0.000, 0.752], [0.000, 0.000, 0.500], [0.000, 0.500, 0.871], [0.500, 0.000, 0.129], [0.500, 0.500, 0.500], [0.000, 0.000, 0.000], [0.000, 0.500, 0.634], [0.500, 0.000, 0.366], [0.500, 0.500, 0.000]]}


{"formula": "SmHoBr", "functional": "GGA-PBE", "state": "optimized geometry", "polymorph_energy_ev_per_atom": 0.000, "formation_energy_uncorrected_ev_per_atom": -0.738, "lattice_angstrom": [[3.744, 0.000, 0.000], [-1.872, 3.242, 0.000], [0.000, 0.000, 7.371]], "species": ["Sm", "Ho", "Br"], "frac_coords": [[0.000, 0.000, 0.000], [0.667, 0.333, 0.365], [0.333, 0.667, 0.673]]}


Number 1: E_tot -4.7837 eV/atom. Number 2: E_tot -6.0674 eV/atom. Number 3: E_tot -4.3945 eV/atom.